1.
Entry from Alexandria via LeMat-Bulk: crystalline LiNClF2 at its relaxed geometry (PBE).

Polymorph energy (0 for the lowest one)   0 meV/atom
E_tot   -16.09 eV/cell
Total magnetization   0.00 μB/f.u.

Structure (extended XYZ):
```
5
Lattice="4.672 0.000 0.000 0.000 4.672 0.000 0.000 0.000 3.286" Properties=species:S:1:pos:R:3 pbc="T T T"
Li 0.000 0.000 0.000
N 2.336 2.336 0.000
Cl 2.336 2.336 1.643
F 0.000 2.336 1.643
F 2.336 0.000 1.643
```



2.
Entry from Alexandria via LeMat-Bulk: crystalline HoZnCu6 at its relaxed geometry (PBE).

ΔH_f (0 K)   13 meV per atom
E_tot   -30.33 eV/cell
Total magnetization   0.00 μB/f.u.

Structure (extended XYZ):
```
8
Lattice="4.873 0.000 0.000 0.000 4.873 0.000 0.000 0.000 4.873" Properties=species:S:1:pos:R:3 pbc="T T T"
Ho 0.000 0.000 0.000
Zn 2.436 2.436 2.436
Cu 0.000 1.257 2.436
Cu 0.000 3.616 2.436
Cu 1.257 2.436 0.000
Cu 2.436 0.000 1.257
Cu 2.436 0.000 3.616
Cu 3.616 2.436 0.000
```



3.
Entry from Alexandria via LeMat-Bulk: crystalline LiAlC at its relaxed geometry (PBE).

ΔH_f (0 K)   303 meV per atom
E_tot   -27.94 eV/cell
Total magnetization   0.00 μB/f.u.

Structure (extended XYZ):
```
6
Lattice="6.055 0.000 0.000 0.000 4.177 0.000 0.000 0.000 2.889" Properties=species:S:1:pos:R:3 pbc="T T T"
Li 1.514 0.000 0.016
Li 4.541 0.000 2.873
Al 0.000 2.088 1.444
Al 3.028 2.088 1.444
C 1.514 2.088 0.129
C 4.541 2.088 2.759
```



4.
Entry from Alexandria via LeMat-Bulk: crystalline Sn3PbF at its relaxed geometry (PBE).

Polymorph energy (0 for the lowest one)   0 meV/atom
E_tot   -19.53 eV/cell
Total magnetization   0.00 μB/f.u.

Structure (extended XYZ):
```
5
Lattice="5.097 0.000 0.000 0.000 5.097 0.000 0.000 0.000 5.097" Properties=species:S:1:pos:R:3 pbc="T T T"
Sn 0.000 0.000 2.548
Sn 0.000 2.548 0.000
Sn 2.548 0.000 0.000
Pb 2.548 2.548 2.548
F 0.000 0.000 0.000
```



5.
Entry from Alexandria via LeMat-Bulk: crystalline Pr7Nd2Sm at its relaxed geometry (PBE).

ΔH_f (0 K)   161 meV per atom
Polymorph energy (0 for the lowest one)   0 meV/atom
E_tot   -46.10 eV/cell
Total magnetization   0.00 μB/f.u.

Structure (extended XYZ):
```
10
Lattice="3.386 -15.136 0.000 3.386 15.136 0.000 0.000 0.000 3.497" Properties=species:S:1:pos:R:3 pbc="T T T"
Pr 0.000 0.000 0.000
Pr 1.734 3.022 0.000
Pr 3.386 9.369 1.748
Pr 1.734 -3.022 0.000
Pr 5.039 3.022 0.000
Pr 3.386 -9.369 1.748
Pr 5.039 -3.022 0.000
Nd 3.386 6.241 0.000
Nd 3.386 -6.241 0.000
Sm 3.386 0.000 1.748
```



6.
Entry from Alexandria via LeMat-Bulk: crystalline Ce2Cd5 at its relaxed geometry (PBE).

ΔH_f (0 K)   -161 meV per atom
E_tot   -35.15 eV/cell
Total magnetization   1.92 μB/f.u.

Structure (extended XYZ):
```
14
Lattice="-3.693 7.103 3.453 3.693 -7.103 3.453 3.693 7.103 -3.453" Properties=species:S:1:pos:R:3 pbc="T T T"
Ce 1.442 1.511 0.000
Ce 1.442 -1.511 3.453
Ce 2.250 8.614 0.000
Ce 2.250 5.593 3.453
Cd 3.693 -3.296 1.726
Cd 5.596 1.777 0.000
Cd 3.693 0.000 1.726
Cd 1.904 5.326 0.000
Cd 3.693 3.296 1.726
Cd 0.000 3.807 1.726
Cd 1.789 1.777 3.453
Cd 0.000 7.103 1.726
Cd -1.904 5.326 3.453
Cd 0.000 10.399 1.726
```



7.
Entry from Alexandria via LeMat-Bulk: crystalline BeP3Os at its relaxed geometry (PBE).

ΔH_f (0 K)   1059 meV per atom
Polymorph energy (0 for the lowest one)   0 meV/atom
E_tot   -25.89 eV/cell
Total magnetization   0.00 μB/f.u.

Structure (extended XYZ):
```
5
Lattice="4.108 0.000 0.000 0.000 4.108 0.000 0.000 0.000 4.108" Properties=species:S:1:pos:R:3 pbc="T T T"
Be 0.000 0.000 0.000
P 0.000 0.000 2.054
P 0.000 2.054 0.000
P 2.054 0.000 0.000
Os 2.054 2.054 2.054
```



8.
Entry from Alexandria via LeMat-Bulk: crystalline Tm3AlSi2 at its relaxed geometry (PBE).

E_tot   -127.02 eV/cell
Total magnetization   0.00 μB/f.u.

Structure (extended XYZ):
```
24
Lattice="11.319 0.000 0.000 0.000 4.119 0.000 0.000 0.000 11.287" Properties=species:S:1:pos:R:3 pbc="T T T"
Tm 0.606 1.030 1.342
Tm 1.453 3.089 6.384
Tm 2.266 1.030 9.043
Tm 3.394 3.089 3.400
Tm 4.206 1.030 0.741
Tm 5.054 3.089 6.985
Tm 6.266 1.030 4.301
Tm 7.113 3.089 10.546
Tm 7.925 1.030 7.887
Tm 9.054 3.089 2.243
Tm 9.866 1.030 4.902
Tm 10.713 3.089 9.945
Al 1.513 1.030 4.170
Al 4.147 3.089 9.813
Al 7.172 1.030 1.474
Al 9.807 3.089 7.117
Si 0.236 3.089 3.574
Si 2.117 3.089 11.276
Si 3.543 1.030 5.633
Si 5.424 1.030 9.217
Si 5.895 3.089 2.070
Si 7.777 3.089 5.654
Si 9.202 1.030 0.010
Si 11.084 1.030 7.713
```



9.
Entry from Alexandria via LeMat-Bulk: crystalline Cu4SeS2Cl at its relaxed geometry (PBE).

E_tot   -31.93 eV/cell
Total magnetization   0.00 μB/f.u.

Structure (extended XYZ):
```
8
Lattice="0.000 3.791 5.361 3.785 0.000 5.361 3.785 3.791 0.000" Properties=species:S:1:pos:R:3 pbc="T T T"
Cu 3.785 1.834 5.361
Cu 5.617 3.791 7.742
Cu 3.785 5.749 5.361
Cu 1.952 3.791 7.742
Se 3.785 3.791 9.235
S 1.892 1.896 1.195
S 5.677 5.687 6.556
Cl 3.785 3.791 3.877
```



10.
Entry from Alexandria via LeMat-Bulk: crystalline Ni2OsAu at its relaxed geometry (PBE).

ΔH_f (0 K)   304 meV per atom
Polymorph energy (0 for the lowest one)   170 meV/atom
E_tot   -24.85 eV/cell
Total magnetization   0.42 μB/f.u.

Structure (extended XYZ):
```
4
Lattice="2.723 0.000 0.000 0.000 2.723 0.000 0.000 0.000 7.325" Properties=species:S:1:pos:R:3 pbc="T T T"
Ni 0.000 0.000 0.000
Ni 1.361 1.361 1.578
Os 0.000 0.000 3.197
Au 1.361 1.361 5.392
```



11.
Entry from Alexandria via LeMat-Bulk: crystalline BaTaF7 at its relaxed geometry (PBE).

Polymorph energy (0 for the lowest one)   0 meV/atom
E_tot   -469.59 eV/cell
Total magnetization   0.13 μB/f.u.

Structure (extended XYZ):
```
72
Lattice="10.115 0.000 0.000 0.000 10.115 0.000 0.000 0.000 10.115" Properties=species:S:1:pos:R:3 pbc="T T T"
Ba 0.000 0.000 0.000
Ba 0.000 0.000 5.058
Ba 0.000 5.058 0.000
Ba 0.000 5.058 5.058
Ba 5.058 0.000 0.000
Ba 5.058 0.000 5.058
Ba 5.058 5.058 0.000
Ba 5.058 5.058 5.058
Ta 2.269 2.269 2.269
Ta 2.269 2.789 7.327
Ta 2.789 7.327 2.269
Ta 2.789 7.846 7.327
Ta 7.327 2.269 2.789
Ta 7.327 2.789 7.846
Ta 7.846 7.327 2.789
Ta 7.846 7.846 7.846
F 0.599 1.171 2.624
F 0.599 3.887 7.681
F 1.040 1.395 7.908
F 1.040 3.662 2.851
F 1.171 2.434 5.657
F 1.171 2.624 0.599
F 1.395 7.265 6.098
F 1.395 7.908 1.040
F 1.657 6.714 8.459
F 1.657 8.459 3.401
F 2.207 6.098 3.662
F 2.207 9.076 8.720
F 2.434 5.657 1.171
F 2.434 9.516 6.229
F 2.624 0.599 1.171
F 2.624 4.459 6.229
F 2.851 1.040 3.662
F 2.851 4.018 8.720
F 3.401 1.657 8.459
F 3.401 3.401 3.401
F 3.662 2.207 6.098
F 3.662 2.851 1.040
F 3.887 7.492 5.657
F 3.887 7.681 0.599
F 4.018 6.453 7.908
F 4.018 8.720 2.851
F 4.459 6.229 2.624
F 4.459 8.944 7.681
F 5.657 1.171 2.434
F 5.657 3.887 7.492
F 6.098 1.395 7.265
F 6.098 3.662 2.207
F 6.229 2.434 9.516
F 6.229 2.624 4.459
F 6.453 7.265 9.076
F 6.453 7.908 4.018
F 6.714 6.714 6.714
F 6.714 8.459 1.657
F 7.265 6.098 1.395
F 7.265 9.076 6.453
F 7.492 5.657 3.887
F 7.492 9.516 8.944
F 7.681 0.599 3.887
F 7.681 4.459 8.944
F 7.908 1.040 1.395
F 7.908 4.018 6.453
F 8.459 1.657 6.714
F 8.459 3.401 1.657
F 8.720 2.207 9.076
F 8.720 2.851 4.018
F 8.944 7.492 9.516
F 8.944 7.681 4.459
F 9.076 6.453 7.265
F 9.076 8.720 2.207
F 9.516 6.229 2.434
F 9.516 8.944 7.492
```



12.
Entry from Alexandria via LeMat-Bulk: crystalline PmSmCCl at its relaxed geometry (PBE).

E_tot   -74.01 eV/cell
Total magnetization   0.00 μB/f.u.

Structure (extended XYZ):
```
12
Lattice="3.719 0.000 0.000 -1.860 3.221 0.000 0.000 0.000 21.470" Properties=species:S:1:pos:R:3 pbc="T T T"
Pm 0.000 0.000 0.000
Pm 0.000 2.147 14.313
Pm 1.860 1.074 7.157
Sm 0.000 0.000 4.439
Sm 0.000 2.147 18.752
Sm 1.860 1.074 11.596
C 0.000 0.000 12.955
C 0.000 2.147 5.799
C 1.860 1.074 20.112
Cl 0.000 0.000 9.358
Cl 0.000 2.147 2.202
Cl 1.860 1.074 16.515
```